A relaxed TcAuBr2 crystal, computed with GGA-PBE.

Cell lengths 5.012, 5.012, 5.012 Å; angles 60.00, 60.00, 60.00 degrees
Element x y z (fractional)
1 Tc 0.000 0.000 0.000
2 Au 0.750 0.750 0.750
3 Br 0.250 0.250 0.250
4 Br 0.500 0.500 0.500

Calculated values
space-group type	F-43m (216)
volume	22.26	Å³ per atom
calculated total energy	-3.38	eV/atom
formation energy (no corrections)	0.87	eV per atom